A geometry-optimized K3Rb2MoO6 structure, computed with PBE with a Hubbard U.

total magnetic moment	1.066	μB/f.u.
VASP energy	-4.9836	eV per atom

Cell: 6.707 11.596 6.361 Å, 90.00 111.63 90.00°
Space group C2/m (No. 12)
Inequivalent atoms, fractional coordinates:
K 0.000 0.000 0.000
K 0.000 0.344 0.000
Rb 0.000 0.168 0.500
Mo 0.000 0.500 0.500
O 0.178 0.500 0.315
O 0.185 0.380 0.699